Computed, not measured: an optimized crystal structure of Hf3Ti6Sn at the PBE level of DFT.

The space group is R3m (No. 160, hexagonal axes) and the conventional cell measures 11.7920, 11.7920 and 5.1169 Å, with angles of 90.00, 90.00 and 120.00 degrees. The distinct sites, in fractional coordinates, are Hf at (0.2006, 0.4011, 0.0000), Ti at (0.0144, 0.5072, 0.1655), Ti at (0.0745, 0.1490, 0.9629) and Sn at (0.0000, 0.0000, 0.4813).

The value obtained for the density of states at the Fermi level is 39.3 states/eV per cell. For the formation energy, the calculation gives 0.4294 eV per atom. As for the theoretical density: 7.61 Mg/m³.

=====

Computed, not measured: an optimized crystal structure of Cs3TiTe3 at the PBE level of DFT.

The space group is P2_1/c (No. 14) and the conventional cell measures 10.4099, 9.1773 and 15.0129 Å, with angles of 90.00, 100.17 and 90.00 degrees. The distinct sites, in fractional coordinates, are Cs at (0.0905, 0.1521, 0.1312), Cs at (0.3003, 0.7256, 0.7839), Cs at (0.3975, 0.2336, 0.9181), Ti at (0.1578, 0.5717, 0.0405), Te at (0.0603, 0.0662, 0.3818), Te at (0.2414, 0.6559, 0.5170) and Te at (0.3590, 0.0643, 0.6436).

The calculation puts the uncorrected formation energy at -0.98 eV per atom. The value obtained for the density of states at the Fermi level is 4.5 states/eV per cell. For the energy above the most stable polymorph in this dataset, the calculation gives 0.005 eV/atom. As for the theoretical density: 3.90 Mg/m³.

=====

Computed, not measured: an optimized crystal structure of HoTm2Mg6 at the PBE level of DFT.

The space group is P6/mmm (No. 191) and the conventional cell measures 9.0238, 9.0238 and 3.2581 Å, with angles of 90.00, 90.00 and 120.00 degrees. The distinct sites, in fractional coordinates, are Ho at (0.0000, 0.0000, 0.0000), Tm at (0.3333, 0.6667, 0.0000) and Mg at (0.0000, 0.3344, 0.5000).

The value obtained for the density of states at the Fermi level is 5.5 states/eV per cell. For the energy above the most stable polymorph in this dataset, the calculation gives 0.000 eV/atom. For the formation energy, the calculation gives -0.0557 eV per atom. As for the theoretical density: 4.69 Mg/m³.

=====

Computed, not measured: an optimized crystal structure of SiIr2Cl at the PBE level of DFT.

The space group is I-4m2 (No. 119) and the conventional cell measures 3.5922, 3.5922 and 9.2778 Å, with angles of 90.00, 90.00 and 90.00 degrees. The distinct sites, in fractional coordinates, are Si at (0.0000, 0.0000, 0.0000), Ir at (0.0000, 0.0000, 0.5000), Ir at (0.0000, 0.5000, 0.2500) and Cl at (0.0000, 0.5000, 0.7500).

The calculation puts the uncorrected formation energy at 0.69 eV per atom. The value obtained for the density of states at the Fermi level is 6.3 states/eV per cell. For the energy above the most stable polymorph in this dataset, the calculation gives 0.916 eV/atom. As for the theoretical density: 12.43 Mg/m³.

=====

no.,VASP energy (eV for the cell shown)
1,-230.82
2,-106.87
3,-23.59
4,-44.45